Density functional theory data (PBE) for a relaxed Zr2BrCl crystal.

Output
Formation energy from raw total energies ... -1.6 eV/f.u.
DFT total energy ... -22.252 eV/cell
Symmetry ... Imm2 (44)
N(E_F) ... 3.52 states/eV/f.u.
E above lowest polymorph ... 725 meV/atom

abc: 6.149 6.149 4.779
angles: 67.11 67.11 30.72
Sites, in units of the cell vectors:
Zr: 0.980 0.980 0.020
Zr: 0.762 0.762 0.738
Cl: 0.276 0.276 0.224
Br: 0.482 0.482 0.518